(1)
Computed, not measured: a geometry-optimized RbNbWO6 structure at the GGA-PBEsol level of DFT.

Calculated values
The total magnetization is 0.0 μB per formula unit. As for the energy relative to the elements, uncorrected: -2.346 eV/atom.

a = 7.317 Å, b = 7.401 Å, c = 10.443 Å
α = 90.00°, β = 90.00°, γ = 90.00°
Space group Imma (No. 74)
One atom of each set of equivalent atoms:
Rb1 0.000 0.250 0.138 x4
Nb1 0.000 0.000 0.500 x4
W1 0.250 0.250 0.750 x4
O1 0.000 0.250 0.434 x4
O2 0.000 0.250 0.807 x4
O3 0.191 0.068 0.628 x16


(2)
Computed, not measured: a geometry-optimized NbRh3O structure at the GGA-PBEsol level of DFT.

Calculated values
The total magnetization is 2.3 μB per formula unit. As for the energy relative to the elements, uncorrected: 1.842 eV/atom.

a = 4.659 Å, b = 4.659 Å, c = 4.659 Å
α = 90.00°, β = 90.00°, γ = 90.00°
Space group Pm-3m (No. 221)
One atom of each set of equivalent atoms:
Nb1 0.000 0.000 0.000 x1
Rh1 0.000 0.000 0.500 x3
O1 0.500 0.500 0.500 x1


(3)
Computed, not measured: a geometry-optimized NbTe2RhO structure at the GGA-PBEsol level of DFT.

Calculated values
The total magnetization is 0.0 μB per formula unit. As for the energy relative to the elements, uncorrected: 0.027 eV/atom.

a = 4.887 Å, b = 4.887 Å, c = 3.879 Å
α = 90.00°, β = 90.00°, γ = 90.00°
Space group P4/mmm (No. 123)
One atom of each set of equivalent atoms:
Nb1 0.000 0.000 0.000 x1
Te1 0.000 0.500 0.500 x2
Rh1 0.500 0.500 0.000 x1
O1 0.000 0.000 0.500 x1


(4)
Computed, not measured: a geometry-optimized NbS2O structure at the GGA-PBEsol level of DFT.

Calculated values
The total magnetization is 0.0 μB per formula unit. As for the energy relative to the elements, uncorrected: 0.617 eV/atom.

a = 3.1111 Å, b = 3.1111 Å, c = 22.1184 Å
α = 90.00°, β = 90.00°, γ = 120.00°
Space group R-3m (No. 166, hexagonal axes)
One atom of each set of equivalent atoms:
Nb1 0.0000 0.0000 0.0000 x3
S1 0.0000 0.0000 0.1023 x6
O1 0.0000 0.0000 0.5000 x3


(5)
Computed, not measured: a geometry-optimized Sm3NbS3O4 structure at the GGA-PBEsol level of DFT.

Calculated values
The total magnetization is 0.0 μB per formula unit. As for the energy relative to the elements, uncorrected: -2.691 eV/atom.

a = 6.632 Å, b = 14.093 Å, c = 7.644 Å
α = 90.00°, β = 90.00°, γ = 90.00°
Space group Pna2_1 (No. 33)
One atom of each set of equivalent atoms:
Sm1 0.216 0.156 0.000 x4
Sm2 0.221 0.917 0.757 x4
Sm3 0.228 0.172 0.510 x4
Nb1 0.181 0.926 0.241 x4
S1 0.001 0.273 0.243 x4
S2 0.031 0.491 0.535 x4
S3 0.045 0.299 0.768 x4
O1 0.124 0.856 0.026 x4
O2 0.126 0.886 0.477 x4
O3 0.132 0.074 0.740 x4
O4 0.142 0.063 0.264 x4


(6)
Computed, not measured: a geometry-optimized Sm2Nb2S7O30 structure at the GGA-PBEsol level of DFT.

Calculated values
The total magnetization is 2.2 μB per formula unit. As for the energy relative to the elements, uncorrected: -1.789 eV/atom.

a = 12.825 Å, b = 12.825 Å, c = 7.104 Å
α = 90.00°, β = 90.00°, γ = 90.00°
Space group P-42_1m (No. 113)
One atom of each set of equivalent atoms:
Sm1 0.197 0.303 0.406 x4
Nb1 0.138 0.638 0.981 x4
S1 0.000 0.500 0.345 x2
S2 0.066 0.823 0.300 x8
S3 0.123 0.377 0.893 x4
O1 0.008 0.358 0.867 x8
O2 0.042 0.210 0.329 x8
O3 0.065 0.076 0.727 x8
O4 0.066 0.566 0.222 x4
O5 0.067 0.433 0.461 x4
O6 0.106 0.770 0.121 x8
O7 0.133 0.788 0.456 x8
O8 0.155 0.345 0.080 x4
O9 0.177 0.323 0.742 x4
O10 0.201 0.701 0.792 x4


(7)
Computed, not measured: a geometry-optimized NbSbO4 structure at the GGA-PBEsol level of DFT.

Calculated values
The total magnetization is 0.0 μB per formula unit. As for the energy relative to the elements, uncorrected: -2.063 eV/atom.

a = 5.564 Å, b = 4.939 Å, c = 11.818 Å
α = 90.00°, β = 90.00°, γ = 90.00°
Space group Pna2_1 (No. 33)
One atom of each set of equivalent atoms:
Nb1 0.109 0.014 0.000 x4
Sb1 0.036 0.456 0.253 x4
O1 0.070 0.693 0.434 x4
O2 0.142 0.214 0.541 x4
O3 0.147 0.836 0.838 x4
O4 0.186 0.167 0.148 x4


(8)
Computed, not measured: a geometry-optimized NbSb2TeO structure at the GGA-PBEsol level of DFT.

Calculated values
The total magnetization is 1.6 μB per formula unit. As for the energy relative to the elements, uncorrected: 0.130 eV/atom.

a = 4.577 Å, b = 4.577 Å, c = 4.821 Å
α = 90.00°, β = 90.00°, γ = 90.00°
Space group P4/mmm (No. 123)
One atom of each set of equivalent atoms:
Nb1 0.000 0.000 0.000 x1
Sb1 0.000 0.500 0.500 x2
Te1 0.500 0.500 0.000 x1
O1 0.500 0.500 0.500 x1


(9)
Computed, not measured: a geometry-optimized ScNbO2 structure at the GGA-PBEsol level of DFT.

Calculated values
The total magnetization is 0.0 μB per formula unit. As for the energy relative to the elements, uncorrected: -1.951 eV/atom. Its energy above the most stable polymorph in this dataset is 0.0377 eV/atom.

a = 3.0116 Å, b = 3.0116 Å, c = 20.1045 Å
α = 90.00°, β = 90.00°, γ = 120.00°
Space group R-3m (No. 166, hexagonal axes)
One atom of each set of equivalent atoms:
Sc1 0.0000 0.0000 0.0000 x3
Nb1 0.0000 0.0000 0.5000 x3
O1 0.0000 0.0000 0.1013 x6


(10)
Computed, not measured: a geometry-optimized ScNbO2 structure at the GGA-PBEsol level of DFT.

Calculated values
The total magnetization is 0.6 μB per formula unit. As for the energy relative to the elements, uncorrected: -1.989 eV/atom. Its energy above the most stable polymorph in this dataset is 0.0000 eV/atom.

a = 4.903 Å, b = 4.903 Å, c = 9.217 Å
α = 90.00°, β = 90.00°, γ = 90.00°
Space group I-42d (No. 122)
One atom of each set of equivalent atoms:
Sc1 0.000 0.000 0.000 x4
Nb1 0.000 0.000 0.500 x4
O1 0.233 0.250 0.125 x8


(11)
Computed, not measured: a geometry-optimized NbSeO3 structure at the GGA-PBEsol level of DFT.

Calculated values
The total magnetization is 1.3 μB per formula unit. As for the energy relative to the elements, uncorrected: -1.202 eV/atom.

a = 4.011 Å, b = 4.011 Å, c = 4.011 Å
α = 90.00°, β = 90.00°, γ = 90.00°
Space group Pm-3m (No. 221)
One atom of each set of equivalent atoms:
Nb1 0.000 0.000 0.000 x1
Se1 0.500 0.500 0.500 x1
O1 0.000 0.000 0.500 x3


(12)
Computed, not measured: a geometry-optimized Nb3SiO10 structure at the GGA-PBEsol level of DFT.

Calculated values
The total magnetization is 0.9 μB per formula unit. As for the energy relative to the elements, uncorrected: -2.338 eV/atom.

a = 4.749 Å, b = 5.386 Å, c = 6.754 Å
α = 102.72°, β = 110.02°, γ = 90.30°
Space group P1 (No. 1)
One atom of each set of equivalent atoms:
Nb1 0.000 0.000 0.000 x1
Nb2 0.267 0.467 0.485 x1
Nb3 0.556 0.511 0.042 x1
Si1 0.763 0.949 0.453 x1
O1 0.008 0.224 0.528 x1
O2 0.070 0.759 0.527 x1
O3 0.191 0.704 0.967 x1
O4 0.334 0.201 0.979 x1
O5 0.435 0.116 0.361 x1
O6 0.531 0.646 0.355 x1
O7 0.580 0.522 0.768 x1
O8 0.751 0.997 0.718 x1
O9 0.786 0.882 0.181 x1
O10 0.947 0.367 0.163 x1


(13)
Computed, not measured: a geometry-optimized NbSi2O structure at the GGA-PBEsol level of DFT.

Calculated values
The total magnetization is 0.0 μB per formula unit. As for the energy relative to the elements, uncorrected: -0.413 eV/atom.

a = 5.738 Å, b = 5.738 Å, c = 6.697 Å
α = 90.00°, β = 90.00°, γ = 90.00°
Space group I-42d (No. 122)
One atom of each set of equivalent atoms:
Nb1 0.000 0.000 0.000 x4
Si1 0.157 0.750 0.625 x8
O1 0.000 0.000 0.500 x4


(14)
Computed, not measured: a geometry-optimized Sr2NbSiO structure at the GGA-PBEsol level of DFT.

Calculated values
The total magnetization is 0.6 μB per formula unit. As for the energy relative to the elements, uncorrected: -0.008 eV/atom.

a = 6.085 Å, b = 6.085 Å, c = 3.859 Å
α = 90.00°, β = 90.00°, γ = 90.00°
Space group P4/mmm (No. 123)
One atom of each set of equivalent atoms:
Sr1 0.000 0.500 0.000 x2
Nb1 0.000 0.000 0.000 x1
Si1 0.500 0.500 0.500 x1
O1 0.000 0.000 0.500 x1


(15)
Computed, not measured: a geometry-optimized Sm3NbO7 structure at the GGA-PBEsol level of DFT.

Calculated values
The total magnetization is 0.0 μB per formula unit. As for the energy relative to the elements, uncorrected: -3.268 eV/atom. Its energy above the most stable polymorph in this dataset is 0.0036 eV/atom.

a = 7.498 Å, b = 10.734 Å, c = 7.562 Å
α = 90.00°, β = 90.00°, γ = 90.00°
Space group Pnma (No. 62)
One atom of each set of equivalent atoms:
Sm1 0.014 0.250 0.207 x4
Sm2 0.249 0.525 0.044 x8
Nb1 0.005 0.250 0.748 x4
O1 0.039 0.126 0.953 x8
O2 0.046 0.610 0.406 x8
O3 0.242 0.617 0.771 x8
O4 0.248 0.250 0.660 x4


(16)
Computed, not measured: a geometry-optimized Sm3NbO7 structure at the GGA-PBEsol level of DFT.

Calculated values
The total magnetization is 0.0 μB per formula unit. As for the energy relative to the elements, uncorrected: -3.271 eV/atom. Its energy above the most stable polymorph in this dataset is 0.0000 eV/atom.

a = 7.633 Å, b = 10.665 Å, c = 7.554 Å
α = 90.00°, β = 90.00°, γ = 90.00°
Space group C222_1 (No. 20)
One atom of each set of equivalent atoms:
Sm1 0.035 0.000 0.000 x4
Sm2 0.232 0.270 0.761 x8
Nb1 0.001 0.500 0.000 x4
O1 0.000 0.129 0.250 x4
O2 0.000 0.138 0.750 x4
O3 0.000 0.432 0.750 x4
O4 0.176 0.373 0.046 x8
O5 0.206 0.378 0.479 x8